1.
# CaBe2SiSb PBE relaxed
data_CaBe2SiSb
_space_group_name_H-M_alt 'P 4/m m m'
_space_group_IT_number 123
_space_group_name_Hall '-P 4 2'
_cell_length_a 4.631
_cell_length_b 4.631
_cell_length_c 5.610
_cell_angle_alpha 90.00
_cell_angle_beta 90.00
_cell_angle_gamma 90.00
loop_
_atom_site_label
_atom_site_type_symbol
_atom_site_fract_x
_atom_site_fract_y
_atom_site_fract_z
_atom_site_occupancy
Ca1 Ca 0.000 0.000 0.000 1
Be1 Be 0.000 0.500 0.500 1
Si1 Si 0.500 0.500 0.000 1
Sb1 Sb 0.500 0.500 0.500 1
# Raw formation energy ... 0.808 eV/atom
# Total magnetic moment ... 0.0 Bohr magnetons per cell

***

2.
# Tm3CuSi6Ni2 PBE relaxed
data_Tm3CuSi6Ni2
_space_group_name_H-M_alt 'P -3 m 1'
_space_group_IT_number 164
_space_group_name_Hall '-P 3 2"'
_cell_length_a 5.1957
_cell_length_b 5.1957
_cell_length_c 8.9547
_cell_angle_alpha 90.00
_cell_angle_beta 90.00
_cell_angle_gamma 120.00
loop_
_atom_site_label
_atom_site_type_symbol
_atom_site_fract_x
_atom_site_fract_y
_atom_site_fract_z
_atom_site_occupancy
Tm1 Tm 0.0000 0.0000 0.0000 1
Tm2 Tm 0.3333 0.6667 0.5752 1
Cu1 Cu 0.0000 0.0000 0.5000 1
Si1 Si 0.1677 0.3354 0.2771 1
Ni1 Ni 0.3333 0.6667 0.0799 1
# Raw formation energy ... -0.310 eV/atom
# Total magnetic moment ... 0.0 Bohr magnetons per cell

***

3.
# Tl2NiBr4Cl2 PBE relaxed
data_Tl2NiBr4Cl2
_space_group_name_H-M_alt 'I 4/m m m'
_space_group_IT_number 139
_space_group_name_Hall '-I 4 2'
_cell_length_a 7.150
_cell_length_b 7.150
_cell_length_c 10.307
_cell_angle_alpha 90.00
_cell_angle_beta 90.00
_cell_angle_gamma 90.00
loop_
_atom_site_label
_atom_site_type_symbol
_atom_site_fract_x
_atom_site_fract_y
_atom_site_fract_z
_atom_site_occupancy
Tl1 Tl 0.000 0.500 0.250 1
Ni1 Ni 0.000 0.000 0.000 1
Br1 Br 0.239 0.239 0.000 1
Cl1 Cl 0.000 0.000 0.217 1
# Raw formation energy ... -0.561 eV/atom
# Total magnetic moment ... 0.0 Bohr magnetons per cell

***

4.
# ZrGa3O PBE relaxed
data_ZrGa3O
_space_group_name_H-M_alt 'P m -3 m'
_space_group_IT_number 221
_space_group_name_Hall '-P 4 2 3'
_cell_length_a 5.318
_cell_length_b 5.318
_cell_length_c 5.318
_cell_angle_alpha 90.00
_cell_angle_beta 90.00
_cell_angle_gamma 90.00
loop_
_atom_site_label
_atom_site_type_symbol
_atom_site_fract_x
_atom_site_fract_y
_atom_site_fract_z
_atom_site_occupancy
Zr1 Zr 0.000 0.000 0.000 1
Ga1 Ga 0.000 0.000 0.500 1
O1 O 0.500 0.500 0.500 1
# Raw formation energy ... 0.997 eV/atom
# Total magnetic moment ... 2.1 Bohr magnetons per cell

***

5.
# Rb2N2F PBE relaxed
data_Rb2N2F
_space_group_name_H-M_alt 'C 1 2/m 1'
_space_group_IT_number 12
_cell_length_a 7.469
_cell_length_b 4.100
_cell_length_c 8.076
_cell_angle_alpha 90.00
_cell_angle_beta 112.52
_cell_angle_gamma 90.00
loop_
_space_group_symop_operation_xyz
'x,y,z'
'-x,-y,-z'
'-x,y,-z'
'x,-y,z'
'x+1/2,y+1/2,z'
'-x+1/2,-y+1/2,-z'
'-x+1/2,y+1/2,-z'
'x+1/2,-y+1/2,z'
loop_
_atom_site_label
_atom_site_type_symbol
_atom_site_fract_x
_atom_site_fract_y
_atom_site_fract_z
_atom_site_occupancy
Rb1 Rb 0.249 0.000 0.216 1
N1 N 0.045 0.000 0.454 1
F1 F 0.000 0.500 0.000 1
# Raw formation energy ... -1.121 eV/atom
# Total magnetic moment ... 0.9 Bohr magnetons per cell

***

6.
# KSeF3 PBE relaxed
data_KSeF3
_space_group_name_H-M_alt 'P -1'
_space_group_IT_number 2
_cell_length_a 4.053
_cell_length_b 6.641
_cell_length_c 7.366
_cell_angle_alpha 72.38
_cell_angle_beta 81.59
_cell_angle_gamma 89.86
loop_
_space_group_symop_operation_xyz
'x,y,z'
'-x,-y,-z'
loop_
_atom_site_label
_atom_site_type_symbol
_atom_site_fract_x
_atom_site_fract_y
_atom_site_fract_z
_atom_site_occupancy
K1 K 0.174 0.194 0.190 1
Se1 Se 0.467 0.645 0.347 1
F1 F 0.267 0.827 0.489 1
F2 F 0.305 0.096 0.837 1
F3 F 0.311 0.510 0.826 1
# Raw formation energy ... -1.940 eV/atom
# Total magnetic moment ... 0.0 Bohr magnetons per cell

***

7.
# MgGa9Pd3 PBE relaxed
data_MgGa9Pd3
_space_group_name_H-M_alt 'C 1 2/m 1'
_space_group_IT_number 12
_cell_length_a 5.457
_cell_length_b 12.700
_cell_length_c 6.949
_cell_angle_alpha 90.00
_cell_angle_beta 110.83
_cell_angle_gamma 90.00
loop_
_space_group_symop_operation_xyz
'x,y,z'
'-x,-y,-z'
'-x,y,-z'
'x,-y,z'
'x+1/2,y+1/2,z'
'-x+1/2,-y+1/2,-z'
'-x+1/2,y+1/2,-z'
'x+1/2,-y+1/2,z'
loop_
_atom_site_label
_atom_site_type_symbol
_atom_site_fract_x
_atom_site_fract_y
_atom_site_fract_z
_atom_site_occupancy
Mg1 Mg 0.000 0.000 0.000 1
Ga1 Ga 0.000 0.000 0.500 1
Ga2 Ga 0.098 0.394 0.207 1
Ga3 Ga 0.174 0.177 0.344 1
Pd1 Pd 0.000 0.500 0.500 1
Pd2 Pd 0.250 0.250 0.000 1
# Energy of formation ... -0.27 eV/atom
# Total magnetic moment ... 0.0 Bohr magnetons per cell

***

8.
# YBiPO2 PBE relaxed
data_YBiPO2
_space_group_name_H-M_alt 'P 4/m m m'
_space_group_IT_number 123
_space_group_name_Hall '-P 4 2'
_cell_length_a 4.295
_cell_length_b 4.295
_cell_length_c 5.315
_cell_angle_alpha 90.00
_cell_angle_beta 90.00
_cell_angle_gamma 90.00
loop_
_atom_site_label
_atom_site_type_symbol
_atom_site_fract_x
_atom_site_fract_y
_atom_site_fract_z
_atom_site_occupancy
Y1 Y 0.000 0.000 0.000 1
Bi1 Bi 0.500 0.500 0.500 1
P1 P 0.500 0.500 0.000 1
O1 O 0.000 0.500 0.500 1
# Raw formation energy ... -0.843 eV/atom
# Total magnetic moment ... 0.0 Bohr magnetons per cell

***

no.,total DFT energy (no corrections) (eV per atom)
1,-2.992
2,-5.444
3,-2.883
4,-3.520
5,-5.212
6,-3.979
7,-3.683
8,-5.977